{
  "formula": "LaAg2W",
  "functional": "PBE",
  "state": "optimized geometry",
  "volume_a3_per_atom": 21.098,
  "formation_enthalpy_0k_mev_per_atom": 551,
  "m_tot_mub_per_atom": 0.000,
  "cell": [[5.549, -1.486, 0.000], [5.549, 1.486, 0.000], [-1.253, 0.000, 5.116]],
  "species": ["La", "Ag", "Ag", "W"],
  "fractional_positions": [[0.000, 0.000, 0.000], [0.228, 0.228, 0.718], [0.772, 0.772, 0.282], [0.500, 0.500, 0.500]]
}